Below is a geometry-optimized Cr3NiSn8 structure, with properties calculated at the PBE level.

## Properties
Calculated formation energy = 0.78 eV/f.u.
N(E_F) = 8.648 states/eV per cell
E_tot = -5.491 eV per atom
SG = C222 (21)
Spin magnetization = 2.4 μB/f.u.
V = 20.30 A^3/atom

```
12
Lattice="2.7393 -4.7607 0.0000 2.7393 4.7607 0.0000 0.0000 0.0000 9.3394" Properties=species:S:1:pos:R:3 pbc="T T T"
Cr 0.0000 0.0000 0.0000
Cr 0.0000 0.0000 4.6697
Cr 2.7393 0.0000 0.0000
Ni 2.7393 0.0000 4.6697
Sn 1.3697 2.3803 0.8065
Sn 1.3697 2.3803 3.8900
Sn 1.3887 0.8333 6.9660
Sn 1.3887 -0.8333 2.3734
Sn 1.3697 -2.3803 5.4494
Sn 1.3697 -2.3803 8.5329
Sn 4.0899 0.8333 2.3734
Sn 4.0899 -0.8333 6.9660
```

=====

Below is a geometry-optimized SrCrNi2 structure, with properties calculated at the PBE level.

## Properties
Calculated formation energy = 1.92 eV/f.u.
N(E_F) = 7.063 states/eV per cell
E_tot = -5.238 eV per atom
SG = I4_1/amd (141)
Spin magnetization = 3.7 μB/f.u.
V = 22.43 A^3/atom

```
8
Lattice="-2.3729 2.3729 7.9685 2.3729 -2.3729 7.9685 2.3729 2.3729 -7.9685" Properties=species:S:1:pos:R:3 pbc="T T T"
Sr 2.3729 1.1865 1.9921
Sr 0.0000 1.1865 5.9764
Cr 2.3729 -1.1865 5.9764
Cr 0.0000 3.5594 1.9921
Ni 0.0000 0.0000 0.0000
Ni 1.1865 1.1865 -3.9843
Ni 1.1865 -1.1865 3.9843
Ni 0.0000 2.3729 0.0000
```